1.
SmGdHf | PBE | relaxed

It has space group F-43m (No. 216), with a = 7.3854 Å, b = 7.3854 Å, c = 7.3854 Å, α = 90.00°, β = 90.00° and γ = 90.00°. The inequivalent atoms are Sm at (0.0000, 0.0000, 0.0000), Gd at (0.0000, 0.0000, 0.5000) and Hf at (0.2500, 0.2500, 0.7500).

For the energy above the most stable polymorph in this dataset, the calculation gives 0.0000 eV per atom. The formation energy from the elements comes out at 0.85 eV/atom.

2.
SrGdHf | PBE | relaxed

It has space group F-43m (No. 216), with a = 7.6692 Å, b = 7.6692 Å, c = 7.6692 Å, α = 90.00°, β = 90.00° and γ = 90.00°. The inequivalent atoms are Sr at (0.0000, 0.0000, 0.0000), Gd at (0.2500, 0.2500, 0.7500) and Hf at (0.0000, 0.0000, 0.5000).

Its total energy is -4.2090 eV/atom.

3.
Gd3Hf3Ta2 | PBE | relaxed

It has space group R-3m (No. 166, hexagonal axes), with a = 5.8878 Å, b = 5.8878 Å, c = 20.9447 Å, α = 90.00°, β = 90.00° and γ = 120.00°. The inequivalent atoms are Gd at (0.0000, 0.0000, 0.0000), Gd at (0.0000, 0.0000, 0.4117), Hf at (0.0000, 0.5000, 0.5000) and Ta at (0.0000, 0.0000, 0.2722).

The formation energy from the elements comes out at 0.49 eV/atom.